SrLa2Zn2: optimized geometry, PBE-GGA.

Cell lengths 7.648, 7.648, 7.648 Å; angles 143.38, 143.38, 52.75 degrees
Fractional coordinates of all 5 atoms:
Sr  0.000  0.000  0.000
La  0.250  0.750  0.500
La  0.750  0.250  0.500
Zn  0.407  0.407  0.000
Zn  0.593  0.593  0.000

Computed properties:
- Size of the total moment: 0.00 μB per formula unit
- Formation energy from the elements: -0.092 eV/atom
- E above lowest polymorph: 0.0592 eV/atom

SrLa4Zn5: optimized geometry, PBE-GGA.

Cell lengths 3.794, 3.794, 18.919 Å; angles 90.00, 90.00, 90.00 degrees
Fractional coordinates of all 10 atoms:
Sr  0.000  0.000  0.000
La  0.000  0.000  0.205
La  0.000  0.000  0.401
La  0.000  0.000  0.599
La  0.000  0.000  0.795
Zn  0.500  0.500  0.111
Zn  0.500  0.500  0.303
Zn  0.500  0.500  0.500
Zn  0.500  0.500  0.697
Zn  0.500  0.500  0.889

Computed properties:
- Size of the total moment: 0.00 μB per formula unit
- Formation energy from the elements: -0.289 eV/atom

Sr2LaZn: optimized geometry, PBE-GGA.

Cell lengths 3.892, 3.905, 10.174 Å; angles 90.00, 90.00, 90.00 degrees
Fractional coordinates of all 4 atoms:
Sr  0.000  0.000  0.000
Sr  0.499  0.500  0.663
La  0.498  0.500  0.303
Zn  0.998  0.000  0.465

Computed properties:
- Size of the total moment: 0.02 μB per formula unit
- Formation energy from the elements: -0.089 eV/atom

Sr2LaZn: optimized geometry, PBE-GGA.

Cell lengths 7.372, 7.372, 7.372 Å; angles 148.45, 133.43, 57.34 degrees
Fractional coordinates of all 4 atoms:
Sr  0.196  0.196  0.000
Sr  0.804  0.804  0.000
La  0.500  0.000  0.500
Zn  0.000  0.500  0.500

Computed properties:
- Size of the total moment: 0.11 μB per formula unit
- Formation energy from the elements: 0.039 eV/atom

Sr2LaZn2: optimized geometry, PBE-GGA.

Cell lengths 11.748, 11.748, 11.748 Å; angles 160.95, 160.95, 27.06 degrees
Fractional coordinates of all 5 atoms:
Sr  0.131  0.131  0.000
Sr  0.869  0.869  0.000
La  0.500  0.500  0.000
Zn  0.250  0.750  0.500
Zn  0.750  0.250  0.500

Computed properties:
- Size of the total moment: 0.00 μB per formula unit
- Formation energy from the elements: 0.089 eV/atom
- E above lowest polymorph: 0.2206 eV/atom

Sr2LaZn: optimized geometry, PBE-GGA.

Cell lengths 11.552, 11.552, 11.552 Å; angles 20.10, 20.10, 20.10 degrees
Fractional coordinates of all 4 atoms:
Sr  0.235  0.235  0.235
Sr  0.765  0.765  0.765
La  0.000  0.000  0.000
Zn  0.500  0.500  0.500

Computed properties:
- Size of the total moment: 0.07 μB per formula unit
- Formation energy from the elements: 0.086 eV/atom

SrLa2Zn3: optimized geometry, PBE-GGA.

Cell lengths 3.812, 3.812, 11.432 Å; angles 90.00, 90.00, 90.00 degrees
Fractional coordinates of all 6 atoms:
Sr  0.000  0.000  0.000
La  0.000  0.000  0.340
La  0.000  0.000  0.660
Zn  0.500  0.500  0.184
Zn  0.500  0.500  0.500
Zn  0.500  0.500  0.816

Computed properties:
- Size of the total moment: 0.00 μB per formula unit
- Formation energy from the elements: -0.274 eV/atom

Sr2LaZn: optimized geometry, PBE-GGA.

Cell lengths 7.376, 7.376, 7.376 Å; angles 148.94, 131.67, 58.57 degrees
Fractional coordinates of all 4 atoms:
Sr  0.000  0.000  0.000
Sr  0.701  0.201  0.500
La  0.393  0.393  0.000
Zn  0.209  0.709  0.500

Computed properties:
- Size of the total moment: 0.00 μB per formula unit
- Formation energy from the elements: -0.003 eV/atom

SrLa2Zn: optimized geometry, PBE-GGA.

Cell lengths 6.363, 6.363, 6.363 Å; angles 133.99, 133.99, 67.10 degrees
Fractional coordinates of all 4 atoms:
Sr  0.000  0.000  0.000
La  0.500  0.500  0.000
La  0.750  0.250  0.500
Zn  0.250  0.750  0.500

Computed properties:
- Size of the total moment: 0.00 μB per formula unit
- Formation energy from the elements: 0.113 eV/atom

Sr2LaZn6: optimized geometry, PBE-GGA.

Cell lengths 7.993, 7.993, 3.995 Å; angles 90.00, 90.00, 120.00 degrees
Fractional coordinates of all 9 atoms:
Sr  0.333  0.667  0.000
Sr  0.667  0.333  0.000
La  0.000  0.000  0.000
Zn  0.000  0.332  0.500
Zn  0.000  0.668  0.500
Zn  0.332  0.000  0.500
Zn  0.332  0.332  0.500
Zn  0.668  0.000  0.500
Zn  0.668  0.668  0.500

Computed properties:
- Size of the total moment: 0.00 μB per formula unit
- Formation energy from the elements: -0.263 eV/atom

Sr3LaZn4: optimized geometry, PBE-GGA.

Cell lengths 3.863, 3.863, 15.550 Å; angles 90.00, 90.00, 90.00 degrees
Fractional coordinates of all 8 atoms:
Sr  0.000  0.000  0.000
Sr  0.000  0.000  0.255
Sr  0.000  0.000  0.745
La  0.000  0.000  0.500
Zn  0.500  0.500  0.127
Zn  0.500  0.500  0.388
Zn  0.500  0.500  0.612
Zn  0.500  0.500  0.873

Computed properties:
- Size of the total moment: 0.12 μB per formula unit
- Formation energy from the elements: -0.214 eV/atom

Sr2LaZn: optimized geometry, PBE-GGA.

Cell lengths 6.739, 6.739, 6.739 Å; angles 135.92, 135.92, 64.11 degrees
Fractional coordinates of all 4 atoms:
Sr  0.250  0.750  0.500
Sr  0.750  0.250  0.500
La  0.000  0.000  0.000
Zn  0.500  0.500  0.000

Computed properties:
- Size of the total moment: 0.02 μB per formula unit
- Formation energy from the elements: 0.180 eV/atom

SrLa3Zn2: optimized geometry, PBE-GGA.

Cell lengths 3.852, 3.852, 13.249 Å; angles 90.00, 90.00, 90.00 degrees
Fractional coordinates of all 6 atoms:
Sr  0.000  0.000  0.000
La  0.500  0.500  0.235
La  0.500  0.500  0.500
La  0.500  0.500  0.765
Zn  0.000  0.000  0.363
Zn  0.000  0.000  0.637

Computed properties:
- Size of the total moment: 0.77 μB per formula unit
- Formation energy from the elements: -0.165 eV/atom

SrLa2Zn: optimized geometry, PBE-GGA.

Cell lengths 6.280, 6.280, 6.280 Å; angles 133.21, 133.21, 68.32 degrees
Fractional coordinates of all 4 atoms:
Sr  0.000  0.000  0.000
La  0.250  0.750  0.500
La  0.750  0.250  0.500
Zn  0.500  0.500  0.000

Computed properties:
- Size of the total moment: 0.00 μB per formula unit
- Formation energy from the elements: 0.099 eV/atom

SrLa2Zn2: optimized geometry, PBE-GGA.

Cell lengths 10.919, 10.919, 3.759 Å; angles 90.00, 90.00, 160.08 degrees
Fractional coordinates of all 5 atoms:
Sr  0.000  0.000  0.000
La  0.177  0.823  0.000
La  0.823  0.177  0.000
Zn  0.404  0.596  0.500
Zn  0.596  0.404  0.500

Computed properties:
- Size of the total moment: 0.00 μB per formula unit
- Formation energy from the elements: -0.128 eV/atom
- E above lowest polymorph: 0.0231 eV/atom

SrLa2Zn: optimized geometry, PBE-GGA.

Cell lengths 11.308, 11.308, 11.308 Å; angles 19.72, 19.72, 19.72 degrees
Fractional coordinates of all 4 atoms:
Sr  0.000  0.000  0.000
La  0.527  0.527  0.527
La  0.771  0.771  0.771
Zn  0.262  0.262  0.262

Computed properties:
- Size of the total moment: 0.00 μB per formula unit
- Formation energy from the elements: 0.024 eV/atom

SrLa2Zn: optimized geometry, PBE-GGA.

Cell lengths 3.816, 3.816, 9.506 Å; angles 90.00, 90.00, 90.00 degrees
Fractional coordinates of all 4 atoms:
Sr  0.000  0.000  0.000
La  0.000  0.000  0.401
La  0.500  0.500  0.665
Zn  0.500  0.500  0.216

Computed properties:
- Size of the total moment: 0.00 μB per formula unit
- Formation energy from the elements: -0.092 eV/atom

Sr3LaZn: optimized geometry, PBE-GGA.

Cell lengths 6.046, 6.046, 6.046 Å; angles 90.00, 90.00, 90.00 degrees
Fractional coordinates of all 5 atoms:
Sr  0.000  0.000  0.500
Sr  0.000  0.500  0.000
Sr  0.500  0.000  0.000
La  0.500  0.500  0.500
Zn  0.000  0.000  0.000

Computed properties:
- Size of the total moment: 0.00 μB per formula unit
- Formation energy from the elements: 0.184 eV/atom
- E above lowest polymorph: 0.0000 eV/atom

Sr2LaZn: optimized geometry, PBE-GGA.

Cell lengths 4.549, 5.596, 5.726 Å; angles 90.00, 90.00, 90.00 degrees
Fractional coordinates of all 4 atoms:
Sr  0.000  0.000  0.000
Sr  0.500  0.500  0.000
La  0.000  0.500  0.500
Zn  0.500  0.000  0.500

Computed properties:
- Size of the total moment: 0.02 μB per formula unit
- Formation energy from the elements: 0.129 eV/atom

SrLa5Zn6: optimized geometry, PBE-GGA.

Cell lengths 5.343, 7.578, 8.452 Å; angles 90.00, 108.36, 90.00 degrees
Fractional coordinates of all 12 atoms:
Sr  0.000  0.000  0.000
La  0.000  0.500  0.000
La  0.333  0.500  0.665
La  0.336  0.000  0.670
La  0.664  0.000  0.330
La  0.667  0.500  0.335
Zn  0.170  0.252  0.341
Zn  0.170  0.748  0.341
Zn  0.500  0.260  0.000
Zn  0.500  0.740  0.000
Zn  0.830  0.252  0.659
Zn  0.830  0.748  0.659

Computed properties:
- Size of the total moment: 0.00 μB per formula unit
- Formation energy from the elements: -0.284 eV/atom

SrLa2Zn: optimized geometry, PBE-GGA.

Cell lengths 6.932, 6.932, 5.738 Å; angles 114.43, 114.43, 33.32 degrees
Fractional coordinates of all 4 atoms:
Sr  0.000  0.000  0.000
La  0.583  0.583  0.583
La  0.791  0.791  0.292
Zn  0.285  0.285  0.787

Computed properties:
- Size of the total moment: 0.00 μB per formula unit
- Formation energy from the elements: 0.002 eV/atom

SrLa2Zn: optimized geometry, PBE-GGA.

Cell lengths 6.992, 6.992, 3.722 Å; angles 103.06, 103.06, 122.66 degrees
Fractional coordinates of all 4 atoms:
Sr  0.000  0.000  0.000
La  0.000  0.500  0.500
La  0.500  0.000  0.500
Zn  0.500  0.500  0.000

Computed properties:
- Size of the total moment: 0.00 μB per formula unit
- Formation energy from the elements: 0.124 eV/atom

Sr3LaZn: optimized geometry, PBE-GGA.

Cell lengths 6.311, 6.311, 6.311 Å; angles 90.00, 90.00, 90.00 degrees
Fractional coordinates of all 5 atoms:
Sr  0.000  0.000  0.500
Sr  0.000  0.500  0.000
Sr  0.500  0.000  0.000
La  0.000  0.000  0.000
Zn  0.500  0.500  0.500

Computed properties:
- Size of the total moment: 1.27 μB per formula unit
- Formation energy from the elements: 0.890 eV/atom
- E above lowest polymorph: 0.7057 eV/atom

Sr2LaZn: optimized geometry, PBE-GGA.

Cell lengths 6.288, 6.288, 3.978 Å; angles 90.00, 90.00, 107.95 degrees
Fractional coordinates of all 4 atoms:
Sr  0.000  0.500  0.000
Sr  0.500  0.000  0.000
La  0.000  0.000  0.500
Zn  0.500  0.500  0.500

Computed properties:
- Size of the total moment: 0.00 μB per formula unit
- Formation energy from the elements: 0.160 eV/atom

SrLaZn10: optimized geometry, PBE-GGA.

Cell lengths 4.293, 5.488, 9.524 Å; angles 90.00, 90.00, 90.00 degrees
Fractional coordinates of all 12 atoms:
Sr  0.000  0.000  0.000
La  0.000  0.500  0.500
Zn  0.000  0.000  0.331
Zn  0.000  0.000  0.669
Zn  0.000  0.500  0.166
Zn  0.000  0.500  0.834
Zn  0.500  0.000  0.500
Zn  0.500  0.255  0.257
Zn  0.500  0.255  0.743
Zn  0.500  0.500  0.000
Zn  0.500  0.745  0.257
Zn  0.500  0.745  0.743

Computed properties:
- Size of the total moment: 0.00 μB per formula unit
- Formation energy from the elements: -0.254 eV/atom

Sr2LaZn: optimized geometry, PBE-GGA.

Cell lengths 3.826, 3.828, 10.177 Å; angles 90.00, 90.05, 90.00 degrees
Fractional coordinates of all 4 atoms:
Sr  0.000  0.000  0.194
Sr  0.000  0.000  0.806
La  0.500  0.500  0.500
Zn  0.500  0.500  0.000

Computed properties:
- Size of the total moment: 0.00 μB per formula unit
- Formation energy from the elements: 0.002 eV/atom

SrLa2Zn6: optimized geometry, PBE-GGA.

Cell lengths 8.066, 8.066, 3.759 Å; angles 90.00, 90.00, 120.00 degrees
Fractional coordinates of all 9 atoms:
Sr  0.000  0.000  0.000
La  0.333  0.667  0.000
La  0.667  0.333  0.000
Zn  0.000  0.334  0.500
Zn  0.000  0.666  0.500
Zn  0.334  0.000  0.500
Zn  0.334  0.334  0.500
Zn  0.666  0.000  0.500
Zn  0.666  0.666  0.500

Computed properties:
- Size of the total moment: 0.00 μB per formula unit
- Formation energy from the elements: -0.304 eV/atom

SrLa2Zn: optimized geometry, PBE-GGA.

Cell lengths 11.497, 11.497, 11.497 Å; angles 19.48, 19.48, 19.48 degrees
Fractional coordinates of all 4 atoms:
Sr  0.000  0.000  0.000
La  0.231  0.231  0.231
La  0.769  0.769  0.769
Zn  0.500  0.500  0.500

Computed properties:
- Size of the total moment: 0.01 μB per formula unit
- Formation energy from the elements: 0.015 eV/atom